Record 1
First-principles (GGA-PBE) data for a relaxed Y2In2Pt crystal, as listed in Alexandria via LeMat-Bulk.

The structure in CIF format:
```
data_Y2In2Pt
_cell_length_a 7.2804
_cell_length_b 7.2804
_cell_length_c 4.6061
_cell_angle_alpha 90.00
_cell_angle_beta 90.00
_cell_angle_gamma 90.00
_space_group_name_H-M_alt 'P 4/m b m'
_space_group_IT_number 127
_space_group_name_Hall '-P 4 2ab'
loop_
_atom_site_label
_atom_site_type_symbol
_atom_site_fract_x
_atom_site_fract_y
_atom_site_fract_z
_atom_site_occupancy
Y1 Y 0.1687 0.3313 0.0000 1
In1 In 0.1398 0.6398 0.5000 1
Pt1 Pt 0.0000 0.0000 0.5000 1
```

Properties
Formation energy from the elements ... -287 kJ/mol of formula units
Total magnetic moment ... 0.00 Bohr magnetons per cell

Record 2
First-principles (GGA-PBE) data for a relaxed YInPt3 crystal, as listed in Alexandria via LeMat-Bulk.

The structure in CIF format:
```
data_YInPt3
_cell_length_a 5.1489
_cell_length_b 5.1489
_cell_length_c 5.1489
_cell_angle_alpha 90.00
_cell_angle_beta 90.00
_cell_angle_gamma 90.00
_space_group_name_H-M_alt 'P m -3 m'
_space_group_IT_number 221
_space_group_name_Hall '-P 4 2 3'
loop_
_atom_site_label
_atom_site_type_symbol
_atom_site_fract_x
_atom_site_fract_y
_atom_site_fract_z
_atom_site_occupancy
Y1 Y 0.0000 0.0000 0.0000 1
In1 In 0.5000 0.5000 0.5000 1
Pt1 Pt 0.0000 0.0000 0.5000 1
```

Properties
ΔE to the lowest computed polymorph ... 2.69 eV per formula unit
Formation energy from the elements ... 313 kJ/mol of formula units
Total magnetic moment ... 0.00 Bohr magnetons per cell

Record 3
First-principles (GGA-PBE) data for a relaxed Y2In3Pt crystal, as listed in Alexandria via LeMat-Bulk.

The structure in CIF format:
```
data_Y2In3Pt
_cell_length_a 3.6217
_cell_length_b 4.8340
_cell_length_c 8.3146
_cell_angle_alpha 90.00
_cell_angle_beta 90.00
_cell_angle_gamma 90.00
_space_group_name_H-M_alt 'P m m 2'
_space_group_IT_number 25
loop_
_space_group_symop_operation_xyz
'x,y,z'
'-x,-y,z'
'-x,y,z'
'x,-y,z'
loop_
_atom_site_label
_atom_site_type_symbol
_atom_site_fract_x
_atom_site_fract_y
_atom_site_fract_z
_atom_site_occupancy
Y1 Y 0.0000 0.0000 0.0000 1
Y2 Y 0.0000 0.5000 0.4421 1
In1 In 0.5000 0.0000 0.6183 1
In2 In 0.5000 0.5000 0.1359 1
In3 In 0.5000 0.5000 0.7952 1
Pt1 Pt 0.5000 0.0000 0.2908 1
```

Properties
Formation energy from the elements ... -372 kJ/mol of formula units
Total magnetic moment ... 0.00 Bohr magnetons per cell

Record 4
First-principles (GGA-PBE) data for a relaxed Y2InPt crystal, as listed in Alexandria via LeMat-Bulk.

The structure in CIF format:
```
data_Y2InPt
_cell_length_a 4.3343
_cell_length_b 4.3343
_cell_length_c 10.0099
_cell_angle_alpha 90.00
_cell_angle_beta 90.00
_cell_angle_gamma 90.00
_space_group_name_H-M_alt 'I -4 m 2'
_space_group_IT_number 119
_space_group_name_Hall 'I -4 -2'
loop_
_atom_site_label
_atom_site_type_symbol
_atom_site_fract_x
_atom_site_fract_y
_atom_site_fract_z
_atom_site_occupancy
Y1 Y 0.0000 0.0000 0.0000 1
Y2 Y 0.0000 0.5000 0.2500 1
In1 In 0.0000 0.5000 0.7500 1
Pt1 Pt 0.0000 0.0000 0.5000 1
```

Properties
Formation energy from the elements ... -244 kJ/mol of formula units
Total magnetic moment ... 0.00 Bohr magnetons per cell

Record 5
First-principles (GGA-PBE) data for a relaxed Y2InPt crystal, as listed in Alexandria via LeMat-Bulk.

The structure in CIF format:
```
data_Y2InPt
_cell_length_a 6.7103
_cell_length_b 3.9289
_cell_length_c 8.6338
_cell_angle_alpha 90.00
_cell_angle_beta 105.73
_cell_angle_gamma 90.00
_space_group_name_H-M_alt 'C 1 2/m 1'
_space_group_IT_number 12
loop_
_space_group_symop_operation_xyz
'x,y,z'
'-x,-y,-z'
'-x,y,-z'
'x,-y,z'
'x+1/2,y+1/2,z'
'-x+1/2,-y+1/2,-z'
'-x+1/2,y+1/2,-z'
'x+1/2,-y+1/2,z'
loop_
_atom_site_label
_atom_site_type_symbol
_atom_site_fract_x
_atom_site_fract_y
_atom_site_fract_z
_atom_site_occupancy
Y1 Y 0.2358 0.0000 0.2067 1
In1 In 0.0000 0.0000 0.5000 1
Pt1 Pt 0.0000 0.5000 0.0000 1
```

Properties
Formation energy from the elements ... -276 kJ/mol of formula units
Total magnetic moment ... 0.00 Bohr magnetons per cell

Record 6
First-principles (GGA-PBE) data for a relaxed Y3InPt12 crystal, as listed in Alexandria via LeMat-Bulk.

The structure in CIF format:
```
data_Y3InPt12
_cell_length_a 4.1163
_cell_length_b 4.1163
_cell_length_c 16.3655
_cell_angle_alpha 90.00
_cell_angle_beta 90.00
_cell_angle_gamma 90.00
_space_group_name_H-M_alt 'P 4/m m m'
_space_group_IT_number 123
_space_group_name_Hall '-P 4 2'
loop_
_atom_site_label
_atom_site_type_symbol
_atom_site_fract_x
_atom_site_fract_y
_atom_site_fract_z
_atom_site_occupancy
Y1 Y 0.0000 0.0000 0.0000 1
Y2 Y 0.0000 0.0000 0.2521 1
In1 In 0.0000 0.0000 0.5000 1
Pt1 Pt 0.0000 0.5000 0.1262 1
Pt2 Pt 0.0000 0.5000 0.3792 1
Pt3 Pt 0.5000 0.5000 0.0000 1
Pt4 Pt 0.5000 0.5000 0.2533 1
Pt5 Pt 0.5000 0.5000 0.5000 1
```

Properties
Formation energy from the elements ... -1298 kJ/mol of formula units
Total magnetic moment ... 0.00 Bohr magnetons per cell